Record 1
5
Lattice="4.852 0.000 0.000 0.000 4.852 0.000 0.000 0.000 6.130" Properties=species:S:1:pos:R:3 comment="CsLaFe2Sb (PBE, optimized geometry)" space_group=P4/mmm e_form_raw_ev_per_atom=1.587 vol_a3_per_cell=144 pbc="T T T"
Cs 0.000 0.000 0.000
La 0.000 0.000 3.065
Fe 0.000 2.426 3.065
Fe 2.426 0.000 3.065
Sb 2.426 2.426 0.000

Record 2
5
Lattice="5.238 0.000 0.000 0.000 5.238 0.000 0.000 0.000 5.393" Properties=species:S:1:pos:R:3 comment="CsLaSc2Fe (PBE, optimized geometry)" space_group=P4/mmm e_tot_ev_per_atom=-5.002 vol_a3_per_cell=148 pbc="T T T"
Cs 0.000 0.000 0.000
La 2.619 2.619 0.000
Sc 0.000 2.619 2.696
Sc 2.619 0.000 2.696
Fe 2.619 2.619 2.696

Record 3
5
Lattice="6.094 0.000 0.000 0.000 6.094 0.000 0.000 0.000 5.857" Properties=species:S:1:pos:R:3 comment="CsSr2LaFe (PBE, optimized geometry)" space_group=P4/mmm e_tot_ev_per_atom=-1.703 vol_a3_per_cell=218 pbc="T T T"
Cs 0.000 0.000 0.000
Sr 0.000 3.047 0.000
Sr 3.047 0.000 0.000
La 0.000 0.000 2.929
Fe 3.047 3.047 2.929

Record 4
5
Lattice="7.045 0.000 0.000 0.000 7.045 0.000 0.000 0.000 7.045" Properties=species:S:1:pos:R:3 comment="Cs3LiFe (PBE, optimized geometry)" space_group=Pm-3m e_tot_ev_per_atom=-1.805 vol_a3_per_cell=350 pbc="T T T"
Cs 0.000 0.000 3.522
Cs 0.000 3.522 0.000
Cs 3.522 0.000 0.000
Li 3.522 3.522 3.522
Fe 0.000 0.000 0.000

Record 5
5
Lattice="5.237 0.000 0.000 0.000 5.237 0.000 0.000 0.000 5.237" Properties=species:S:1:pos:R:3 comment="CsLi3Fe (PBE, optimized geometry)" space_group=Pm-3m e_tot_ev_per_atom=-1.585 vol_a3_per_cell=144 pbc="T T T"
Cs 0.000 0.000 0.000
Li 0.000 0.000 2.619
Li 0.000 2.619 0.000
Li 2.619 0.000 0.000
Fe 2.619 2.619 2.619

Record 6
16
Lattice="9.258 0.000 0.000 0.000 9.258 0.000 0.000 0.000 9.258" Properties=species:S:1:pos:R:3 comment="Cs2LiFe (PBE, optimized geometry)" space_group=Fm-3m e_tot_ev_per_atom=-2.133 vol_a3_per_cell=793 pbc="T T T"
Cs 2.314 2.314 2.314
Cs 2.314 2.314 6.943
Cs 2.314 6.943 2.314
Cs 2.314 6.943 6.943
Cs 6.943 2.314 2.314
Cs 6.943 2.314 6.943
Cs 6.943 6.943 2.314
Cs 6.943 6.943 6.943
Li 0.000 0.000 0.000
Li 0.000 4.629 4.629
Li 4.629 0.000 4.629
Li 4.629 4.629 0.000
Fe 0.000 0.000 4.629
Fe 0.000 4.629 0.000
Fe 4.629 0.000 0.000
Fe 4.629 4.629 4.629

Record 7
5
Lattice="4.816 0.000 0.000 0.000 4.816 0.000 0.000 0.000 4.841" Properties=species:S:1:pos:R:3 comment="CsLiFe2Pb (PBE, optimized geometry)" space_group=P4/mmm e_tot_ev_per_atom=-3.507 vol_a3_per_cell=112 pbc="T T T"
Cs 0.000 0.000 0.000
Li 2.408 2.408 2.420
Fe 0.000 2.408 2.420
Fe 2.408 0.000 2.420
Pb 2.408 2.408 0.000

Record 8
5
Lattice="5.586 0.000 0.000 0.000 5.586 0.000 0.000 0.000 6.785" Properties=species:S:1:pos:R:3 comment="CsSrLiFe2 (PBE, optimized geometry)" space_group=P4/mmm e_tot_ev_per_atom=-2.691 vol_a3_per_cell=212 pbc="T T T"
Cs 0.000 0.000 0.000
Sr 0.000 0.000 3.393
Li 2.793 2.793 0.000
Fe 0.000 2.793 3.393
Fe 2.793 0.000 3.393

Record 9
5
Lattice="5.084 0.000 0.000 0.000 5.084 0.000 0.000 0.000 5.084" Properties=species:S:1:pos:R:3 comment="CsMgFe3 (PBE, optimized geometry)" space_group=Pm-3m e_above_lowest_polymorph_mev_per_atom=0 vol_a3_per_cell=131 pbc="T T T"
Cs 0.000 0.000 0.000
Mg 2.542 2.542 2.542
Fe 0.000 2.542 2.542
Fe 2.542 0.000 2.542
Fe 2.542 2.542 0.000

Record 10
16
Lattice="9.223 0.000 0.000 0.000 9.223 0.000 0.000 0.000 9.223" Properties=species:S:1:pos:R:3 comment="Cs2MgFe (PBE, optimized geometry)" space_group=Fm-3m e_above_lowest_polymorph_mev_per_atom=118 vol_a3_per_cell=785 pbc="T T T"
Cs 2.306 2.306 2.306
Cs 2.306 2.306 6.917
Cs 2.306 6.917 2.306
Cs 2.306 6.917 6.917
Cs 6.917 2.306 2.306
Cs 6.917 2.306 6.917
Cs 6.917 6.917 2.306
Cs 6.917 6.917 6.917
Mg 0.000 0.000 0.000
Mg 0.000 4.611 4.611
Mg 4.611 0.000 4.611
Mg 4.611 4.611 0.000
Fe 0.000 0.000 4.611
Fe 0.000 4.611 0.000
Fe 4.611 0.000 0.000
Fe 4.611 4.611 4.611

Record 11
16
Lattice="13.301 0.000 0.000 0.000 13.301 0.000 0.000 0.000 5.326" Properties=species:S:1:pos:R:3 comment="Cs2MgFe (PBE, optimized geometry)" space_group=I-42d e_above_lowest_polymorph_mev_per_atom=0 vol_a3_per_cell=942 pbc="T T T"
Cs 1.028 9.976 0.666
Cs 3.325 1.028 4.660
Cs 3.325 5.622 1.997
Cs 5.622 9.976 3.328
Cs 7.679 3.325 3.328
Cs 9.976 7.679 1.997
Cs 9.976 12.272 4.660
Cs 12.272 3.325 0.666
Mg 0.000 0.000 2.663
Mg 0.000 6.650 3.994
Mg 6.650 0.000 1.331
Mg 6.650 6.650 0.000
Fe 0.000 0.000 0.000
Fe 0.000 6.650 1.331
Fe 6.650 0.000 3.994
Fe 6.650 6.650 2.663

Record 12
5
Lattice="4.886 0.000 0.000 0.000 4.886 0.000 0.000 0.000 4.886" Properties=species:S:1:pos:R:3 comment="CsMgFe3 (PBE, optimized geometry)" space_group=Pm-3m e_above_lowest_polymorph_mev_per_atom=737 vol_a3_per_cell=117 pbc="T T T"
Cs 0.000 0.000 0.000
Mg 2.443 2.443 2.443
Fe 0.000 0.000 2.443
Fe 0.000 2.443 0.000
Fe 2.443 0.000 0.000

Record 13
5
Lattice="5.329 0.000 0.000 0.000 5.329 0.000 0.000 0.000 5.329" Properties=species:S:1:pos:R:3 comment="CsMg3Fe (PBE, optimized geometry)" space_group=Pm-3m e_tot_ev_per_atom=-2.273 vol_a3_per_cell=151 pbc="T T T"
Cs 0.000 0.000 0.000
Mg 0.000 2.664 2.664
Mg 2.664 0.000 2.664
Mg 2.664 2.664 0.000
Fe 2.664 2.664 2.664

Record 14
5
Lattice="4.615 0.000 0.000 0.000 4.615 0.000 0.000 0.000 5.168" Properties=species:S:1:pos:R:3 comment="CsMgFeRe2 (PBE, optimized geometry)" space_group=P4/mmm e_tot_ev_per_atom=-5.644 vol_a3_per_cell=110 pbc="T T T"
Cs 0.000 0.000 0.000
Mg 2.308 2.308 0.000
Fe 2.308 2.308 2.584
Re 0.000 2.308 2.584
Re 2.308 0.000 2.584

Record 15
16
Lattice="6.705 0.000 0.000 0.000 6.705 0.000 0.000 0.000 6.705" Properties=species:S:1:pos:R:3 comment="CsMn2Fe (PBE, optimized geometry)" space_group=Fm-3m e_tot_ev_per_atom=-5.306 vol_a3_per_cell=301 pbc="T T T"
Cs 0.000 0.000 0.000
Cs 0.000 3.353 3.353
Cs 3.353 0.000 3.353
Cs 3.353 3.353 0.000
Mn 1.676 1.676 1.676
Mn 1.676 1.676 5.029
Mn 1.676 5.029 1.676
Mn 1.676 5.029 5.029
Mn 5.029 1.676 1.676
Mn 5.029 1.676 5.029
Mn 5.029 5.029 1.676
Mn 5.029 5.029 5.029
Fe 0.000 0.000 3.353
Fe 0.000 3.353 0.000
Fe 3.353 0.000 0.000
Fe 3.353 3.353 3.353

Record 16
5
Lattice="6.765 0.000 0.000 0.000 6.765 0.000 0.000 0.000 6.765" Properties=species:S:1:pos:R:3 comment="Cs3FeMo (PBE, optimized geometry)" space_group=Pm-3m e_tot_ev_per_atom=-2.703 vol_a3_per_cell=310 pbc="T T T"
Cs 0.000 0.000 3.383
Cs 0.000 3.383 0.000
Cs 3.383 0.000 0.000
Fe 0.000 0.000 0.000
Mo 3.383 3.383 3.383

Record 17
5
Lattice="4.561 0.000 0.000 0.000 4.561 0.000 0.000 0.000 4.561" Properties=species:S:1:pos:R:3 comment="CsFe3Mo (PBE, optimized geometry)" space_group=Pm-3m e_tot_ev_per_atom=-4.274 vol_a3_per_cell=95 pbc="T T T"
Cs 0.000 0.000 0.000
Fe 0.000 0.000 2.280
Fe 0.000 2.280 0.000
Fe 2.280 0.000 0.000
Mo 2.280 2.280 2.280